A relaxed structure of PmSm2Sn2. Source: Alexandria via LeMat-Bulk, functional PBE-GGA.

a = 4.9855 Å, b = 18.8589 Å, c = 6.6090 Å
α = 90.00°, β = 90.00°, γ = 90.00°
Space group Cmc2_1 (No. 36)
One atom of each set of equivalent atoms:
Pm1 0.0000 0.1047 0.0000 x4
Sm1 0.0000 0.3106 0.0020 x4
Sm2 0.0000 0.5004 0.2504 x4
Sn1 0.0000 0.0748 0.5005 x4
Sn2 0.0000 0.3026 0.5025 x4

- Energy relative to the lowest polymorph listed for this composition: 0 meV/atom
- Crystal system: orthorhombic

---

A relaxed structure of Pm8SmSn2. Source: Alexandria via LeMat-Bulk, functional PBE-GGA.

a = 16.6220 Å, b = 6.8473 Å, c = 6.4271 Å
α = 90.00°, β = 94.65°, γ = 90.00°
Space group C2/m (No. 12)
One atom of each set of equivalent atoms:
Pm1 0.0837 0.0000 0.3985 x4
Pm2 0.0998 0.2454 0.9070 x8
Pm3 0.2125 0.5000 0.3329 x4
Sm1 0.0000 0.5000 0.5000 x2
Sn1 0.2437 0.0000 0.1701 x4

- Crystal system: monoclinic

---

Table of electronic total energy (eV per atom), in record order: -5.06 -4.80
Table of M_tot (μB per cell), in record order: 0.000 0.000